Entry 1:
TmRe2Si4 (GGA-PBE, optimized geometry); formation energy (no corrections) = -11.3 kcal/mol of atoms; symmetry = Pnma; E_tot = -7.786 eV/atom
1.0
16.219 0.000 0.000
0.000 4.071 0.000
0.000 0.000 6.626
Tm Re Si
4 8 16
direct
0.141 0.250 0.089
0.359 0.750 0.589
0.641 0.250 0.411
0.859 0.750 0.911
0.056 0.750 0.756
0.192 0.250 0.593
0.308 0.750 0.093
0.444 0.250 0.256
0.556 0.750 0.744
0.692 0.250 0.907
0.808 0.750 0.407
0.944 0.250 0.244
0.018 0.750 0.119
0.047 0.250 0.514
0.192 0.750 0.373
0.207 0.750 0.814
0.293 0.250 0.314
0.308 0.250 0.873
0.453 0.750 0.014
0.482 0.250 0.619
0.518 0.750 0.381
0.547 0.250 0.986
0.692 0.750 0.127
0.707 0.750 0.686
0.793 0.250 0.186
0.808 0.250 0.627
0.953 0.750 0.486
0.982 0.250 0.881

***

Entry 2:
Nb2CuO (GGA-PBE, optimized geometry); formation energy (no corrections) = -3.1 kcal/mol of atoms; symmetry = R-3m; offset from the most stable computed form = 0.128 eV/atom; E_tot = -7.432 eV/atom
1.0
2.324 1.342 3.090
-2.324 1.342 3.090
0.000 -2.683 3.090
Nb Cu O
2 1 1
direct
0.221 0.221 0.221
0.779 0.779 0.779
0.500 0.500 0.500
0.000 0.000 0.000

***

Entry 3:
Pm2YTl (GGA-PBE, optimized geometry); symmetry = R3m; offset from the most stable computed form = 0.099 eV/atom; E_tot = -4.685 eV/atom; ΔH_f (0 K) = -0.102 eV/atom
1.0
1.857 1.072 10.945
-1.857 1.072 10.945
0.000 -2.144 10.945
Pm Y Tl
2 1 1
direct
0.000 0.000 0.000
0.177 0.177 0.177
0.755 0.755 0.755
0.588 0.588 0.588

***

| no. | magnetization (μB per formula unit) |
| --- | --- |
| 1 | 0.00 |
| 2 | 0.00 |
| 3 | 0.63 |